VASP calculation (GGA+U) on MnTl3Ag2F9 after structural relaxation.

Calculated values
Mass density in Mg/m³: 6.82
DFT total energy in eV for the cell shown: -63.7

abc: 6.248 6.248 7.598
angles: 90.00 90.00 120.00
Each line ends with the local moment (μB).
Fractional positions:
F1 0.853 0.706 0.649  -0.04
F2 0.000 0.500 0.000  -0.07
F3 0.147 0.853 0.351  -0.04
F4 0.500 0.500 0.000  -0.07
F5 0.706 0.853 0.351  -0.04
F6 0.147 0.294 0.351  -0.04
F7 0.294 0.147 0.649  -0.04
F8 0.853 0.147 0.649  -0.04
F9 0.500 0.000 0.000  -0.07
Tl1 0.000 0.000 0.000  0.00
Tl2 0.333 0.667 0.719  0.00
Tl3 0.667 0.333 0.281  0.00
Mn1 0.000 0.000 0.500  3.88
Ag1 0.333 0.667 0.192  -0.30
Ag2 0.667 0.333 0.808  -0.30